[1]
Compound: CrH2Cl8
Source: Alexandria
Functional: PBE
Structure: relaxed

**Calculated volume**: 299 Å³/cell
**DOS at the Fermi energy**: 5.06 states/eV/cell

Unit cell a=8.012 b=8.012 c=5.135 alpha=90.27 beta=90.27 gamma=64.92
Atoms (fractional coordinates):
Cr1 0.000 0.000 0.000
H1 0.276 0.276 0.957
H2 0.724 0.724 0.043
Cl1 0.123 0.754 0.260
Cl2 0.143 0.143 0.235
Cl3 0.246 0.877 0.740
Cl4 0.351 0.351 0.800
Cl5 0.649 0.649 0.200
Cl6 0.754 0.123 0.260
Cl7 0.857 0.857 0.765
Cl8 0.877 0.246 0.740



[2]
Compound: CrCoW2N
Source: Alexandria
Functional: PBE
Structure: relaxed

**Calculated volume**: 62 Å³/cell
**Energy relative to the elements, uncorrected**: 0.3 eV per formula unit
**DOS at the Fermi energy**: 3.73 states/eV/cell

Unit cell a=4.094 b=4.094 c=3.687 alpha=90.00 beta=90.00 gamma=90.00
Atoms (fractional coordinates):
Cr1 0.000 0.000 0.000
Co1 0.500 0.500 0.000
W1 0.000 0.500 0.500
W2 0.500 0.000 0.500
N1 0.500 0.500 0.500



[3]
Compound: RbLiSi
Source: Alexandria
Functional: PBE
Structure: relaxed

**Calculated volume**: 357 Å³/cell
**Energy relative to the elements, uncorrected**: 0.3 eV per formula unit
**DOS at the Fermi energy**: 6.56 states/eV/cell

Unit cell a=7.980 b=6.893 c=6.769 alpha=90.00 beta=106.62 gamma=90.00
Atoms (fractional coordinates):
Rb1 0.000 0.246 0.000
Rb2 0.000 0.754 0.000
Rb3 0.500 0.254 0.000
Rb4 0.500 0.746 0.000
Li1 0.312 0.500 0.496
Li2 0.443 0.000 0.501
Li3 0.812 0.000 0.496
Li4 0.943 0.500 0.501
Si1 0.138 0.166 0.544
Si2 0.138 0.834 0.544
Si3 0.638 0.334 0.544
Si4 0.638 0.666 0.544



[4]
Compound: SnHOs2
Source: Alexandria
Functional: PBE
Structure: relaxed

**Calculated volume**: 120 Å³/cell
**ΔE to the lowest computed polymorph**: 0.41 eV per formula unit
**DOS at the Fermi energy**: 3.71 states/eV/cell

Unit cell a=4.721 b=5.434 c=5.437 alpha=61.84 beta=89.96 gamma=78.71
Atoms (fractional coordinates):
Sn1 0.000 0.000 0.000
Sn2 0.345 0.658 0.646
H1 0.729 0.979 0.513
H2 0.818 0.588 0.453
Os1 0.449 0.214 0.159
Os2 0.474 0.116 0.696
Os3 0.589 0.659 0.190
Os4 0.992 0.207 0.381



[5]
Compound: RePBr2
Source: Alexandria
Functional: PBE
Structure: relaxed

**Calculated volume**: 261 Å³/cell
**Energy relative to the elements, uncorrected**: 4.0 eV per formula unit
**ΔE to the lowest computed polymorph**: 4.02 eV per formula unit
**DOS at the Fermi energy**: 10.94 states/eV/cell

Unit cell a=3.096 b=3.096 c=31.413 alpha=90.00 beta=90.00 gamma=120.00
Atoms (fractional coordinates):
Re1 0.000 0.000 0.000
Re2 0.333 0.667 0.667
Re3 0.667 0.333 0.333
P1 0.000 0.000 0.500
P2 0.333 0.667 0.167
P3 0.667 0.333 0.833
Br1 0.000 0.000 0.395
Br2 0.000 0.000 0.605
Br3 0.333 0.667 0.062
Br4 0.333 0.667 0.272
Br5 0.667 0.333 0.728
Br6 0.667 0.333 0.938



[6]
Compound: Ta2NiPt
Source: Alexandria
Functional: PBE
Structure: relaxed

**Calculated volume**: 276 Å³/cell
**Energy of formation**: 0.251 eV/atom
**DOS at the Fermi energy**: 16.64 states/eV/cell

Unit cell a=3.913 b=3.913 c=18.019 alpha=90.00 beta=90.00 gamma=90.00
Atoms (fractional coordinates):
Ta1 0.245 0.250 0.125
Ta2 0.250 0.745 0.375
Ta3 0.250 0.755 0.875
Ta4 0.255 0.250 0.625
Ta5 0.745 0.750 0.625
Ta6 0.750 0.245 0.875
Ta7 0.750 0.255 0.375
Ta8 0.755 0.750 0.125
Ni1 0.000 0.000 0.000
Ni2 0.000 0.500 0.250
Ni3 0.500 0.000 0.750
Ni4 0.500 0.500 0.500
Pt1 0.000 0.000 0.500
Pt2 0.000 0.500 0.750
Pt3 0.500 0.000 0.250
Pt4 0.500 0.500 0.000



| no. | VASP energy (eV/f.u.) |
| --- | --- |
| 1 | -36.2 |
| 2 | -50.6 |
| 3 | -8.0 |
| 4 | -28.0 |
| 5 | -17.2 |
| 6 | -34.5 |